Density functional theory data (PBE-GGA) for an optimized crystal structure of NdGdMgSn.

The formation energy from the elements is -0.432 eV/atom. For the density of states at the Fermi level, the calculation gives 3.9 states/eV/f.u.

a = 5.397 Å, b = 5.397 Å, c = 5.397 Å
α = 60.00°, β = 60.00°, γ = 60.00°
Atoms (fractional coordinates):
1 Mg 0.750 0.750 0.750
2 Gd 0.000 0.000 0.000
3 Nd 0.500 0.500 0.500
4 Sn 0.250 0.250 0.250


Density functional theory data (PBE-GGA) for an optimized crystal structure of TbNdGdMg.

The formation energy from the elements is 0.033 eV/atom. For the density of states at the Fermi level, the calculation gives 5.2 states/eV/f.u.

a = 5.581 Å, b = 5.581 Å, c = 5.581 Å
α = 60.00°, β = 60.00°, γ = 60.00°
Atoms (fractional coordinates):
1 Nd 0.750 0.750 0.750
2 Mg 0.000 0.000 0.000
3 Gd 0.250 0.250 0.250
4 Tb 0.500 0.500 0.500


Density functional theory data (PBE-GGA) for an optimized crystal structure of NdGdMgTl.

The formation energy from the elements is -0.259 eV/atom. For the density of states at the Fermi level, the calculation gives 5.0 states/eV/f.u.

a = 5.449 Å, b = 5.449 Å, c = 5.449 Å
α = 60.00°, β = 60.00°, γ = 60.00°
Atoms (fractional coordinates):
1 Tl 0.000 0.000 0.000
2 Gd 0.250 0.250 0.250
3 Nd 0.750 0.750 0.750
4 Mg 0.500 0.500 0.500


Density functional theory data (PBE-GGA) for an optimized crystal structure of NdGdYMg.

The formation energy from the elements is 0.037 eV/atom. For the density of states at the Fermi level, the calculation gives 6.2 states/eV/f.u.

a = 5.580 Å, b = 5.580 Å, c = 5.580 Å
α = 60.00°, β = 60.00°, γ = 60.00°
Atoms (fractional coordinates):
1 Y 0.750 0.750 0.750
2 Mg 0.000 0.000 0.000
3 Gd 0.500 0.500 0.500
4 Nd 0.250 0.250 0.250